TaZnP2S | PBE | optimized geometry

Summary:
ΔE to the lowest computed polymorph = 0 meV per atom
Energy relative to the elements, uncorrected = 261 meV per atom
Final energy = -5.354 eV/atom
Calculated volume = 112.03 Å³ per cell
Total magnetization = 0.0 μB/f.u.
Fermi-level density of states = 4.1 states/eV/f.u.

a b c (Å): 4.8807 4.8807 4.7032
angles (deg): 90.00 90.00 90.00
Closest atoms and distances in Å follow each position.
Fractional coordinates of all 5 atoms:
Ta  0.0000  0.0000  0.0000  2 S 2.35, 4 P 2.44
Zn  0.5000  0.5000  0.5000  8 P 3.39, 4 S 3.45
S  0.0000  0.0000  0.5000  2 Ta 2.35
P  0.0000  0.5000  0.0000  2 Ta 2.44
P  0.5000  0.0000  0.0000  2 Ta 2.44

---

TaZnPS2 | PBE | optimized geometry

Summary:
ΔE to the lowest computed polymorph = 917 meV per atom
Energy relative to the elements, uncorrected = 932 meV per atom
Final energy = -4.427 eV/atom
Calculated volume = 91.58 Å³ per cell
Total magnetization = 0.0 μB/f.u.
Fermi-level density of states = 4.0 states/eV/f.u.

a b c (Å): 4.5054 4.5054 4.5115
angles (deg): 90.00 90.00 90.00
Closest atoms and distances in Å follow each position.
Fractional coordinates of all 5 atoms:
S  0.0000  0.5000  0.0000  2 Zn 2.25
S  0.5000  0.0000  0.0000  2 Zn 2.25
Ta  0.5000  0.5000  0.5000  4 P 3.19, 8 S 3.19
P  0.0000  0.0000  0.5000  2 Zn 2.26
Zn  0.0000  0.0000  0.0000  4 S 2.25, 2 P 2.26

---

Tb3P2S2 | PBE | optimized geometry

Summary:
Energy relative to the elements, uncorrected = -1491 meV per atom
Final energy = -6.201 eV/atom
Calculated volume = 183.97 Å³ per cell
Total magnetization = 0.0 μB/f.u.
Fermi-level density of states = 4.6 states/eV/f.u.

a b c (Å): 3.9984 7.0709 7.8315
angles (deg): 119.63 104.79 90.00
Closest atoms and distances in Å follow each position.
Fractional coordinates of all 7 atoms:
Tb  0.2805  0.7723  0.5609  3 S 2.71-2.83, 3 P 2.81-2.92
Tb  0.7195  0.2277  0.4391  3 S 2.71-2.83, 3 P 2.81-2.92
Tb  0.0000  0.5000  0.0000  2 S 2.79, 4 P 2.83
S  0.8727  0.6787  0.7453  4 Tb 2.71-2.83
S  0.1273  0.3213  0.2547  4 Tb 2.71-2.83
P  0.6399  0.7704  0.2798  5 Tb 2.81-2.92
P  0.3601  0.2296  0.7202  5 Tb 2.81-2.92

---

- The highest Fermi-level density of states belongs to which entry?
  Tb3P2S2

---

- Look up the final energy of the second one.
  -4.427 eV/atom